1.
Entry from Alexandria via LeMat-Bulk: a relaxed structure of Sb2Ir2Pd (PBE).

abc: 7.3480 7.3480 3.4001
angles: 90.00 90.00 90.00
Fractional coordinates of all 10 atoms:
Pd 0.5000 0.5000 0.0000
Pd 0.0000 0.0000 0.0000
Ir 0.3644 0.8644 0.0000
Ir 0.1356 0.3644 0.0000
Ir 0.6356 0.1356 0.0000
Ir 0.8644 0.6356 0.0000
Sb 0.3362 0.1638 0.5000
Sb 0.1638 0.6638 0.5000
Sb 0.6638 0.8362 0.5000
Sb 0.8362 0.3362 0.5000

Summary:
VASP energy ... -61.980 eV for the cell shown
Magnetization ... 0.000 μB/cell
Distance to the lowest polymorph of the same formula ... 0.0 meV per atom
V ... 18.36 Å³ per atom

2.
Entry from Alexandria via LeMat-Bulk: a relaxed structure of SbIrPd (PBE).

abc: 4.1731 7.5812 7.5819
angles: 65.00 84.28 84.28
Fractional coordinates of all 12 atoms:
Ir 0.7495 0.8759 0.1259
Ir 0.2505 0.6241 0.3741
Ir 0.2505 0.1241 0.8741
Ir 0.7495 0.3759 0.6259
Pd 0.3332 0.2034 0.4534
Pd 0.3331 0.7033 0.9535
Pd 0.6669 0.2967 0.0465
Pd 0.6668 0.7966 0.5466
Sb 0.8003 0.9920 0.7421
Sb 0.1997 0.5079 0.7579
Sb 0.1997 0.0080 0.2579
Sb 0.8003 0.4921 0.2421

Summary:
VASP energy ... -75.607 eV for the cell shown
Magnetization ... 0.000 μB/cell
V ... 17.99 Å³ per atom

3.
Entry from Alexandria via LeMat-Bulk: a relaxed structure of SbIrPd3 (PBE).

abc: 4.8433 4.8433 4.8433
angles: 90.00 90.00 90.00
Site moments in Bohr magnetons follow the coordinates.
Fractional coordinates of all 5 atoms:
Pd 0.0000 0.0000 0.5000  0.27
Pd 0.0000 0.5000 0.0000  0.08
Pd 0.5000 0.0000 0.0000  0.03
Ir 0.0000 0.0000 0.0000  0.44
Sb 0.5000 0.5000 0.5000  0.00

Summary:
VASP energy ... -23.679 eV for the cell shown
Magnetization ... 0.835 μB/cell
Distance to the lowest polymorph of the same formula ... 0.0 meV per atom
V ... 22.72 Å³ per atom

4.
Entry from Alexandria via LeMat-Bulk: a relaxed structure of ScSbIrPd (PBE).

abc: 4.6404 4.6404 4.6404
angles: 60.00 60.00 60.00
Fractional coordinates of all 4 atoms:
Pd 0.0000 0.0000 0.0000
Sb 0.2500 0.2500 0.2500
Ir 0.5000 0.5000 0.5000
Sc 0.7500 0.7500 0.7500

Summary:
VASP energy ... -27.119 eV for the cell shown
Magnetization ... 0.000 μB/cell
V ... 17.66 Å³ per atom

5.
Entry from Alexandria via LeMat-Bulk: a relaxed structure of Sr2Sb4IrPd3 (PBE).

abc: 4.6625 4.6625 10.8799
angles: 90.00 90.00 90.00
Fractional coordinates of all 10 atoms:
Sb 0.0000 0.5000 0.3772
Sb 0.5000 0.5000 0.0000
Sb 0.0000 0.0000 0.0000
Sb 0.5000 0.0000 0.6228
Pd 0.0000 0.0000 0.5000
Pd 0.5000 0.0000 0.8669
Pd 0.0000 0.5000 0.1331
Sr 0.5000 0.0000 0.2588
Sr 0.0000 0.5000 0.7412
Ir 0.5000 0.5000 0.5000

Summary:
VASP energy ... -51.163 eV for the cell shown
Magnetization ... 0.000 μB/cell
V ... 23.65 Å³ per atom

6.
Entry from Alexandria via LeMat-Bulk: a relaxed structure of Sr2Sb4Ir3Pd (PBE).

abc: 4.6650 4.6650 10.5304
angles: 90.00 90.00 90.00
Fractional coordinates of all 10 atoms:
Pd 0.5000 0.5000 0.5000
Sr 0.5000 0.0000 0.2519
Sr 0.0000 0.5000 0.7481
Ir 0.5000 0.0000 0.8789
Ir 0.0000 0.5000 0.1211
Ir 0.0000 0.0000 0.5000
Sb 0.0000 0.0000 0.0000
Sb 0.5000 0.5000 0.0000
Sb 0.5000 0.0000 0.6292
Sb 0.0000 0.5000 0.3708

Summary:
VASP energy ... -57.434 eV for the cell shown
Magnetization ... 0.000 μB/cell
V ... 22.92 Å³ per atom